LiSc2NiO4 | GGA+U | optimized geometry

Unit cell a=5.806 b=5.806 c=5.806 alpha=137.81 beta=137.81 gamma=61.20
Positions (direct):
Li (0.000, 0.000, 0.000)
Sc (0.500, 0.500, 0.000)
Sc (0.750, 0.250, 0.500)
Ni (0.250, 0.750, 0.500)
O (0.279, 0.279, 0.000)
O (0.536, 0.036, 0.500)
O (0.721, 0.721, 0.000)
O (0.964, 0.464, 0.500)

Values from the calculation:
Energy in eV per atom: -7.23
Magnetic moment in μB/atom: 0.13